1.
{
  "formula": "CuHPd2Pt",
  "functional": "PBE",
  "state": "optimized geometry",
  "lattice_angstrom": [[3.9914, 0.0000, 0.0000], [0.0000, 3.9914, 0.0000], [0.0000, 0.0000, 3.9076]],
  "species": ["Cu", "H", "Pd", "Pd", "Pt"],
  "fractional_positions": [[0.0000, 0.0000, 0.0000], [0.5000, 0.5000, 0.5000], [0.0000, 0.5000, 0.5000], [0.5000, 0.0000, 0.5000], [0.5000, 0.5000, 0.0000]],
  "n_ef_per_ev_cell": 5.36,
  "e_tot_ev_per_atom": -4.828,
  "crystal_system": "tetragonal"
}

2.
{
  "formula": "CuHPd2Pt",
  "functional": "PBE",
  "state": "optimized geometry",
  "lattice_angstrom": [[3.9558, 0.0000, 0.0000], [0.0000, 3.9558, 0.0000], [0.0000, 0.0000, 3.9269]],
  "species": ["Cu", "H", "Pd", "Pd", "Pt"],
  "fractional_positions": [[0.0000, 0.0000, 0.0000], [0.0000, 0.0000, 0.5000], [0.0000, 0.5000, 0.5000], [0.5000, 0.0000, 0.5000], [0.5000, 0.5000, 0.0000]],
  "n_ef_per_ev_cell": 4.99,
  "e_tot_ev_per_atom": -4.808,
  "crystal_system": "tetragonal"
}

3.
{
  "formula": "CuHPdPt2",
  "functional": "PBE",
  "state": "optimized geometry",
  "lattice_angstrom": [[3.9383, 0.0000, 0.0000], [0.0000, 3.9383, 0.0000], [0.0000, 0.0000, 4.0397]],
  "species": ["Cu", "H", "Pd", "Pt", "Pt"],
  "fractional_positions": [[0.0000, 0.0000, 0.0000], [0.5000, 0.5000, 0.5000], [0.5000, 0.5000, 0.0000], [0.0000, 0.5000, 0.5000], [0.5000, 0.0000, 0.5000]],
  "n_ef_per_ev_cell": 5.25,
  "e_tot_ev_per_atom": -4.967,
  "crystal_system": "tetragonal"
}

4.
{
  "formula": "CuH4Pd2Pt",
  "functional": "PBE",
  "state": "optimized geometry",
  "lattice_angstrom": [[0.0000, 2.9558, 4.2854], [2.9514, 0.0000, 4.2854], [2.9514, 2.9558, 0.0000]],
  "species": ["Cu", "H", "H", "H", "H", "Pd", "Pd", "Pt"],
  "fractional_positions": [[0.0000, 0.0000, 0.0000], [0.1336, 0.6225, 0.3775], [0.3782, 0.8668, 0.6218], [0.6225, 0.1336, 0.8664], [0.8668, 0.3782, 0.1332], [0.2500, 0.2500, 0.2500], [0.7500, 0.7500, 0.7500], [0.5000, 0.5000, 0.5000]],
  "n_ef_per_ev_cell": 1.41,
  "e_tot_ev_per_atom": -4.268,
  "crystal_system": "orthorhombic"
}

5.
{
  "formula": "Cu2HPdRh",
  "functional": "PBE",
  "state": "optimized geometry",
  "lattice_angstrom": [[3.9950, 0.0000, 0.0000], [0.0000, 3.9950, 0.0000], [0.0000, 0.0000, 3.5624]],
  "species": ["Cu", "Cu", "H", "Pd", "Rh"],
  "fractional_positions": [[0.0000, 0.5000, 0.0000], [0.5000, 0.0000, 0.0000], [0.0000, 0.0000, 0.0000], [0.5000, 0.5000, 0.5000], [0.0000, 0.0000, 0.5000]],
  "n_ef_per_ev_cell": 4.37,
  "e_tot_ev_per_atom": -4.810,
  "crystal_system": "tetragonal"
}

6.
{
  "formula": "CuHPdRh2",
  "functional": "PBE",
  "state": "optimized geometry",
  "lattice_angstrom": [[3.8704, 0.0000, 0.0000], [0.0000, 3.8704, 0.0000], [0.0000, 0.0000, 3.9213]],
  "species": ["Cu", "H", "Pd", "Rh", "Rh"],
  "fractional_positions": [[0.0000, 0.0000, 0.0000], [0.0000, 0.0000, 0.5000], [0.5000, 0.5000, 0.0000], [0.0000, 0.5000, 0.5000], [0.5000, 0.0000, 0.5000]],
  "n_ef_per_ev_cell": 3.53,
  "e_tot_ev_per_atom": -5.430,
  "crystal_system": "tetragonal"
}

7.
{
  "formula": "CuH5Pd2Rh",
  "functional": "PBE",
  "state": "optimized geometry",
  "lattice_angstrom": [[-1.7035, 2.2706, 5.0215], [1.7035, -2.2706, 5.0215], [1.7035, 2.2706, -5.0215]],
  "species": ["Cu", "H", "H", "H", "H", "H", "Pd", "Pd", "Rh"],
  "fractional_positions": [[0.0000, 0.0000, 0.0000], [0.1257, 0.3598, 0.7659], [0.4061, 0.6402, 0.7659], [0.5000, 0.0000, 0.5000], [0.5939, 0.3598, 0.2341], [0.8743, 0.6402, 0.2341], [0.2629, 0.7629, 0.5000], [0.7371, 0.2371, 0.5000], [0.5000, 0.5000, 0.0000]],
  "n_ef_per_ev_cell": 2.10,
  "e_tot_ev_per_atom": -4.222,
  "crystal_system": "orthorhombic"
}

8.
{
  "formula": "Cu2H4PdRh",
  "functional": "PBE",
  "state": "optimized geometry",
  "lattice_angstrom": [[4.7911, 0.0000, 0.0000], [0.0000, 2.8808, 0.0000], [-2.1767, 0.0000, 4.7828]],
  "species": ["Cu", "Cu", "H", "H", "H", "H", "Pd", "Rh"],
  "fractional_positions": [[0.0000, 0.0000, 0.0000], [0.0000, 0.5000, 0.5000], [0.2642, 0.0000, 0.8041], [0.3099, 0.5000, 0.2347], [0.6901, 0.5000, 0.7653], [0.7358, 0.0000, 0.1959], [0.5000, 0.0000, 0.5000], [0.5000, 0.5000, 0.0000]],
  "n_ef_per_ev_cell": 1.76,
  "e_tot_ev_per_atom": -4.258,
  "crystal_system": "monoclinic"
}